No. 1
The following is a PBE calculation of a geometry-optimized Sc6CS5 structure, from Alexandria.

Fermi-level density of states, states/eV per cell: 11.6

Unit cell a=6.315 b=10.918 c=6.312 alpha=90.00 beta=109.37 gamma=90.00
Space group C2/m (No. 12)
One atom of each set of equivalent atoms:
Sc: 0.224 0.000 0.272
Sc: 0.225 0.150 0.726
C: 0.000 0.000 0.500
S: 0.000 0.172 0.000
S: 0.000 0.334 0.500
S: 0.000 0.500 0.000


No. 2
The following is a PBE calculation of a geometry-optimized TlTcMo2 structure, from Alexandria.

Polymorph energy (0 for the lowest one), meV per atom: 162.5
Fermi-level density of states, states/eV per cell: 10.6
Formation energy from the elements, eV/atom: 0.5770

Unit cell a=3.933 b=3.933 c=8.707 alpha=90.00 beta=90.00 gamma=90.00
Space group I4/mmm (No. 139)
One atom of each set of equivalent atoms:
Tl: 0.000 0.000 0.000
Tc: 0.000 0.000 0.500
Mo: 0.000 0.500 0.250


| no. | DFT total energy (eV/cell) |
| --- | --- |
| 1 | -177.167 |
| 2 | -64.173 |